# 1
An optimized crystal structure of Pr5YTe8. Source: Alexandria via LeMat-Bulk, functional PBE-GGA.

Summary:
SG = No. 82
Calculated total energy = -0.1980 hartree per atom
Energy relative to the elements, uncorrected = -1.42 eV/atom
DOS(E_F) = 9.794 states/eV/cell

Unit cell a=8.281 b=8.281 c=8.281 alpha=109.73 beta=108.95 gamma=109.73
Atoms (fractional coordinates):
Pr 0.375 0.131 0.005
Pr 0.995 0.370 0.126
Pr 0.756 0.630 0.625
Pr 0.500 0.000 0.500
Pr 0.874 0.869 0.244
Te 0.275 0.254 0.384
Te 0.616 0.891 0.871
Te 0.625 0.402 0.874
Te 0.979 0.109 0.725
Te 0.126 0.751 0.528
Te 0.472 0.598 0.223
Te 0.777 0.249 0.375
Te 0.129 0.746 0.021
Y 0.250 0.500 0.750

# 2
An optimized crystal structure of Tc2HWAu. Source: Alexandria via LeMat-Bulk, functional PBE-GGA.

Summary:
SG = No. 123
Calculated total energy = -0.2893 hartree per atom
DOS(E_F) = 2.853 states/eV/cell

Unit cell a=4.009 b=4.009 c=3.971 alpha=90.00 beta=90.00 gamma=90.00
Atoms (fractional coordinates):
W 0.000 0.000 0.500
Tc 0.000 0.500 0.000
Tc 0.500 0.000 0.000
H 0.000 0.000 0.000
Au 0.500 0.500 0.500

# 3
An optimized crystal structure of SrC5. Source: Alexandria via LeMat-Bulk, functional PBE-GGA.

Summary:
ΔE to the lowest computed polymorph = 643 kJ/mol of formula units
SG = No. 123
Calculated total energy = -0.2247 hartree per atom
E_form = 178.66 kJ per mole of atoms
DOS(E_F) = 1.397 states/eV/cell

Unit cell a=3.390 b=3.390 c=6.346 alpha=90.00 beta=90.00 gamma=90.00
Atoms (fractional coordinates):
Sr 0.500 0.500 0.000
C 0.000 0.000 0.288
C 0.500 0.500 0.607
C 0.500 0.500 0.393
C 0.000 0.000 0.712
C 0.000 0.000 0.500

# 4
An optimized crystal structure of CaLa3P. Source: Alexandria via LeMat-Bulk, functional PBE-GGA.

Summary:
ΔE to the lowest computed polymorph = 0 kJ/mol of formula units
SG = No. 221
Calculated total energy = -0.1817 hartree per atom
E_form = -48.86 kJ per mole of atoms
DOS(E_F) = 9.104 states/eV/cell

Unit cell a=5.753 b=5.753 c=5.753 alpha=90.00 beta=90.00 gamma=90.00
Atoms (fractional coordinates):
Ca 0.500 0.500 0.500
La 0.000 0.000 0.500
La 0.500 0.000 0.000
La 0.000 0.500 0.000
P 0.000 0.000 0.000

# 5
An optimized crystal structure of MnNi2P. Source: Alexandria via LeMat-Bulk, functional PBE-GGA.

Summary:
SG = No. 38
Calculated total energy = -0.2495 hartree per atom
E_form = -24.52 kJ per mole of atoms
DOS(E_F) = 3.087 states/eV/cell

Unit cell a=3.491 b=2.689 c=5.008 alpha=74.44 beta=90.00 gamma=90.00
Last column: magnetic moment on the atom in μB.
Atoms (fractional coordinates):
Mn 0.500 0.702 0.721  2.22
P 0.000 0.299 0.528  -0.07
Ni 0.500 0.437 0.251  0.06
Ni 0.000 0.063 0.999  0.30

# 6
An optimized crystal structure of Ta3Tc. Source: Alexandria via LeMat-Bulk, functional PBE-GGA.

Summary:
ΔE to the lowest computed polymorph = 119 kJ/mol of formula units
SG = No. 62
Calculated total energy = -0.4208 hartree per atom
E_form = 2.95 kJ per mole of atoms
DOS(E_F) = 15.213 states/eV/cell

Unit cell a=5.530 b=9.435 c=5.408 alpha=90.00 beta=90.00 gamma=90.00
Atoms (fractional coordinates):
Tc 0.951 0.250 0.359
Tc 0.049 0.750 0.641
Tc 0.451 0.250 0.141
Tc 0.549 0.750 0.859
Ta 0.735 0.479 0.133
Ta 0.735 0.021 0.133
Ta 0.765 0.979 0.633
Ta 0.265 0.979 0.867
Ta 0.235 0.479 0.367
Ta 0.765 0.521 0.633
Ta 0.006 0.250 0.859
Ta 0.506 0.250 0.641
Ta 0.494 0.750 0.359
Ta 0.994 0.750 0.141
Ta 0.235 0.021 0.367
Ta 0.265 0.521 0.867